Below is a relaxed structure of H3Pd3Pb, with properties calculated at the PBE-GGA level.

abc: 7.7949 7.7949 7.7949
angles: 40.17 40.17 40.17
Element x y z (fractional)
1 H 0.1333 0.8022 0.4559
2 H 0.1978 0.5441 0.8667
3 H 0.4559 0.1333 0.8022
4 H 0.5441 0.8667 0.1978
5 H 0.8022 0.4559 0.1333
6 H 0.8667 0.1978 0.5441
7 Pd 0.1075 0.4459 0.7748
8 Pd 0.2252 0.8925 0.5541
9 Pd 0.4459 0.7748 0.1075
10 Pd 0.5541 0.2252 0.8925
11 Pd 0.7748 0.1075 0.4459
12 Pd 0.8925 0.5541 0.2252
13 Pb 0.3336 0.3336 0.3336
14 Pb 0.6664 0.6664 0.6664

Computed properties:
E = -29.7 eV per formula unit



Below is a relaxed structure of H6Pd12Pb, with properties calculated at the PBE-GGA level.

abc: 6.5299 6.5299 6.5299
angles: 103.49 103.49 103.49
Element x y z (fractional)
1 H 0.1543 0.1543 0.4904
2 H 0.1543 0.4904 0.1543
3 H 0.4904 0.1543 0.1543
4 H 0.5096 0.8457 0.8457
5 H 0.8457 0.5096 0.8457
6 H 0.8457 0.8457 0.5096
7 Pd 0.1326 0.5000 0.8674
8 Pd 0.1326 0.8674 0.5000
9 Pd 0.1852 0.4544 0.4544
10 Pd 0.4544 0.1852 0.4544
11 Pd 0.4544 0.4544 0.1852
12 Pd 0.5000 0.1326 0.8674
13 Pd 0.5000 0.8674 0.1326
14 Pd 0.5456 0.5456 0.8148
15 Pd 0.5456 0.8148 0.5456
16 Pd 0.8148 0.5456 0.5456
17 Pd 0.8674 0.1326 0.5000
18 Pd 0.8674 0.5000 0.1326
19 Pb 0.0000 0.0000 0.0000

Computed properties:
E = -85.2 eV per formula unit



Below is a relaxed structure of HPd3Pb, with properties calculated at the PBE-GGA level.

abc: 5.0513 5.7798 5.5089
angles: 90.00 113.56 90.00
Element x y z (fractional)
1 H 0.0105 0.2500 0.3966
2 H 0.9895 0.7500 0.6034
3 Pd 0.2319 0.0040 0.7571
4 Pd 0.2319 0.4960 0.7571
5 Pd 0.2931 0.2500 0.2738
6 Pd 0.7069 0.7500 0.7262
7 Pd 0.7681 0.5040 0.2429
8 Pd 0.7681 0.9960 0.2429
9 Pb 0.2548 0.7500 0.2136
10 Pb 0.7452 0.2500 0.7864

Computed properties:
E = -23.6 eV per formula unit



Below is a relaxed structure of HPd3Pb, with properties calculated at the PBE-GGA level.

abc: 7.7822 7.7822 5.0777
angles: 91.49 91.49 102.57
Element x y z (fractional)
1 H 0.0481 0.9519 0.7500
2 H 0.2034 0.7966 0.2500
3 H 0.7966 0.2034 0.7500
4 H 0.9519 0.0481 0.2500
5 Pd 0.0636 0.1852 0.5702
6 Pd 0.0670 0.7040 0.9154
7 Pd 0.1738 0.5693 0.4107
8 Pd 0.1852 0.0636 0.0702
9 Pd 0.2960 0.9330 0.5846
10 Pd 0.4307 0.8262 0.0893
11 Pd 0.5693 0.1738 0.9107
12 Pd 0.7040 0.0670 0.4154
13 Pd 0.8148 0.9364 0.9298
14 Pd 0.8262 0.4307 0.5893
15 Pd 0.9330 0.2960 0.0846
16 Pd 0.9364 0.8148 0.4298
17 Pb 0.2669 0.4440 0.9205
18 Pb 0.4440 0.2669 0.4205
19 Pb 0.5560 0.7331 0.5795
20 Pb 0.7331 0.5560 0.0795

Computed properties:
E = -23.3 eV per formula unit



Below is a relaxed structure of HPd9Pb2, with properties calculated at the PBE-GGA level.

abc: 4.1241 4.1241 11.3525
angles: 90.00 90.00 90.00
Element x y z (fractional)
1 H 0.0000 0.0000 0.0000
2 Pd 0.0000 0.5000 0.1422
3 Pd 0.0000 0.5000 0.5000
4 Pd 0.0000 0.5000 0.8578
5 Pd 0.5000 0.0000 0.1422
6 Pd 0.5000 0.0000 0.5000
7 Pd 0.5000 0.0000 0.8578
8 Pd 0.5000 0.5000 0.0000
9 Pd 0.5000 0.5000 0.3223
10 Pd 0.5000 0.5000 0.6777
11 Pb 0.0000 0.0000 0.3174
12 Pb 0.0000 0.0000 0.6826

Computed properties:
E = -57.5 eV per formula unit



Below is a relaxed structure of H3Pd2Pb, with properties calculated at the PBE-GGA level.

abc: 5.4684 5.4714 5.7894
angles: 84.23 84.26 65.27
Element x y z (fractional)
1 H 0.0798 0.0795 0.3250
2 H 0.1970 0.6261 0.2511
3 H 0.3736 0.8006 0.7502
4 H 0.6264 0.1994 0.2498
5 H 0.8030 0.3739 0.7489
6 H 0.9202 0.9205 0.6750
7 Pd 0.2446 0.7547 0.5003
8 Pd 0.2762 0.2748 0.2951
9 Pd 0.7238 0.7252 0.7049
10 Pd 0.7554 0.2453 0.4997
11 Pb 0.2904 0.2900 0.8035
12 Pb 0.7096 0.7100 0.1965

Computed properties:
E = -24.5 eV per formula unit



Below is a relaxed structure of H4Pd2Pb3, with properties calculated at the PBE-GGA level.

abc: 8.0668 8.0668 4.7093
angles: 93.22 93.22 74.92
Element x y z (fractional)
1 H 0.0154 0.5239 0.2841
2 H 0.1751 0.1900 0.2039
3 H 0.1900 0.1751 0.7039
4 H 0.4761 0.9846 0.2159
5 H 0.5239 0.0154 0.7841
6 H 0.8100 0.8249 0.2961
7 H 0.8249 0.8100 0.7961
8 H 0.9846 0.4761 0.7159
9 Pd 0.1389 0.3485 0.4822
10 Pd 0.3485 0.1389 0.9822
11 Pd 0.6515 0.8611 0.0178
12 Pd 0.8611 0.6515 0.5178
13 Pb 0.1013 0.8987 0.7500
14 Pb 0.2695 0.5207 0.0075
15 Pb 0.4793 0.7305 0.4925
16 Pb 0.5207 0.2695 0.5075
17 Pb 0.7305 0.4793 0.9925
18 Pb 0.8987 0.1013 0.2500

Computed properties:
E = -34.7 eV per formula unit



Below is a relaxed structure of HPd4Pb4, with properties calculated at the PBE-GGA level.

abc: 7.8146 7.8146 5.7963
angles: 90.00 90.00 90.00
Element x y z (fractional)
1 H 0.2500 0.2500 0.2500
2 H 0.7500 0.7500 0.7500
3 Pd 0.0532 0.3451 0.1155
4 Pd 0.1549 0.0532 0.3845
5 Pd 0.3451 0.4468 0.3845
6 Pd 0.4468 0.1549 0.1155
7 Pd 0.5532 0.8451 0.8845
8 Pd 0.6549 0.5532 0.6155
9 Pd 0.8451 0.9468 0.6155
10 Pd 0.9468 0.6549 0.8845
11 Pb 0.0425 0.6880 0.3689
12 Pb 0.1880 0.9575 0.8689
13 Pb 0.3120 0.5425 0.8689
14 Pb 0.4575 0.8120 0.3689
15 Pb 0.5425 0.1880 0.6311
16 Pb 0.6880 0.4575 0.1311
17 Pb 0.8120 0.0425 0.1311
18 Pb 0.9575 0.3120 0.6311

Computed properties:
E = -40.7 eV per formula unit



| no. | total magnetization (μB/f.u.) |
| --- | --- |
| 1 | 0.00 |
| 2 | 0.00 |
| 3 | 0.00 |
| 4 | 0.00 |
| 5 | 0.00 |
| 6 | 0.00 |
| 7 | 0.00 |
| 8 | 0.00 |